# CaPmRh GGA-PBE relaxed
data_CaPmRh
_chemical_formula_sum 'Ca4 Pm4 Rh4'
_symmetry_space_group_name_H-M 'C 1 2/m 1'
_symmetry_Int_Tables_number 12
_symmetry_space_group_name_Hall '-C 2y'
_cell_length_a 7.889
_cell_length_b 4.540
_cell_length_c 10.364
_cell_angle_alpha 90.00
_cell_angle_beta 104.71
_cell_angle_gamma 90.00
loop_
_atom_site_label
_atom_site_fract_x
_atom_site_fract_y
_atom_site_fract_z
Ca1 0.120 0.000 0.359
Pm1 0.204 0.500 0.113
Rh1 0.096 0.500 0.789
# E_tot in eV/atom: -5.08
# D(E_F) in states/eV/f.u.: 1.82
# Energy relative to the lowest polymorph listed for this composition in eV/f.u.: 0.261
# Volume in Å³/atom: 29.91
# Calculated formation energy in eV per atom: -0.376